Entry 1:
# Ac8Ge5Pb (PBE-GGA, optimized geometry)
data_Ac8Ge5Pb
_space_group_name_H-M_alt 'I -4'
_space_group_IT_number 82
_cell_length_a 9.885
_cell_length_b 9.885
_cell_length_c 9.860
_cell_angle_alpha 90.00
_cell_angle_beta 90.00
_cell_angle_gamma 90.00
loop_
_space_group_symop_operation_xyz
'x,y,z'
'y,-x,-z'
'-x,-y,z'
'-y,x,-z'
'x+1/2,y+1/2,z+1/2'
'y+1/2,-x+1/2,-z+1/2'
'-x+1/2,-y+1/2,z+1/2'
'-y+1/2,x+1/2,-z+1/2'
loop_
_atom_site_label
_atom_site_fract_x
_atom_site_fract_y
_atom_site_fract_z
_atom_site_occupancy
Ac1 0.062 0.189 0.186 1
Ac2 0.067 0.324 0.564 1
Ge1 0.000 0.500 0.250 1
Ge2 0.125 0.251 0.875 1
Pb1 0.000 0.000 0.500 1
# - E_form (eV/atom) = -0.6736
# - magnetic moment (Bohr magnetons per cell) = 0.0

Entry 2:
# TlSbTe3 (PBE-GGA, optimized geometry)
data_TlSbTe3
_space_group_name_H-M_alt 'P m -3 m'
_space_group_IT_number 221
_space_group_name_Hall '-P 4 2 3'
_cell_length_a 5.818
_cell_length_b 5.818
_cell_length_c 5.818
_cell_angle_alpha 90.00
_cell_angle_beta 90.00
_cell_angle_gamma 90.00
loop_
_atom_site_label
_atom_site_fract_x
_atom_site_fract_y
_atom_site_fract_z
_atom_site_occupancy
Tl1 0.000 0.000 0.000 1
Sb1 0.500 0.500 0.500 1
Te1 0.000 0.500 0.500 1
# - formation energy without anion corrections (meV/atom) = 195
# - magnetic moment (Bohr magnetons per cell) = 0.0
# - energy above the most stable polymorph in this dataset (meV/atom) = 0

Entry 3:
# GeSBr3 (PBE-GGA, optimized geometry)
data_GeSBr3
_space_group_name_H-M_alt 'P m -3 m'
_space_group_IT_number 221
_space_group_name_Hall '-P 4 2 3'
_cell_length_a 5.347
_cell_length_b 5.347
_cell_length_c 5.347
_cell_angle_alpha 90.00
_cell_angle_beta 90.00
_cell_angle_gamma 90.00
loop_
_atom_site_label
_atom_site_fract_x
_atom_site_fract_y
_atom_site_fract_z
_atom_site_occupancy
Ge1 0.000 0.000 0.000 1
S1 0.500 0.500 0.500 1
Br1 0.000 0.000 0.500 1
# - formation energy without anion corrections (meV/atom) = 273
# - magnetic moment (Bohr magnetons per cell) = 2.6
# - energy above the most stable polymorph in this dataset (meV/atom) = 0

Entry 4:
# Dy2Ho2In3 (PBE-GGA, optimized geometry)
data_Dy2Ho2In3
_space_group_name_H-M_alt 'P -1'
_space_group_IT_number 2
_cell_length_a 3.775
_cell_length_b 6.705
_cell_length_c 8.942
_cell_angle_alpha 68.16
_cell_angle_beta 77.84
_cell_angle_gamma 73.67
loop_
_space_group_symop_operation_xyz
'x,y,z'
'-x,-y,-z'
loop_
_atom_site_label
_atom_site_fract_x
_atom_site_fract_y
_atom_site_fract_z
_atom_site_occupancy
Dy1 0.115 0.221 0.047 1
Ho1 0.372 0.438 0.318 1
In1 0.000 0.000 0.500 1
In2 0.320 0.148 0.713 1
# - E_form (eV/atom) = -0.2798
# - magnetic moment (Bohr magnetons per cell) = 0.0
# - energy above the most stable polymorph in this dataset (meV/atom) = 47

Entry 5:
# Cs2NaMgBe (PBE-GGA, optimized geometry)
data_Cs2NaMgBe
_space_group_name_H-M_alt 'P 4/m m m'
_space_group_IT_number 123
_space_group_name_Hall '-P 4 2'
_cell_length_a 6.973
_cell_length_b 6.973
_cell_length_c 5.688
_cell_angle_alpha 90.00
_cell_angle_beta 90.00
_cell_angle_gamma 90.00
loop_
_atom_site_label
_atom_site_fract_x
_atom_site_fract_y
_atom_site_fract_z
_atom_site_occupancy
Cs1 0.000 0.500 0.000 1
Na1 0.000 0.000 0.500 1
Mg1 0.500 0.500 0.500 1
Be1 0.000 0.000 0.000 1
# - E_form (eV/atom) = 0.6495
# - magnetic moment (Bohr magnetons per cell) = 0.0

Entry 6:
# Ac3TbSi7 (PBE-GGA, optimized geometry)
data_Ac3TbSi7
_space_group_name_H-M_alt 'C m c m'
_space_group_IT_number 63
_space_group_name_Hall '-C 2c 2'
_cell_length_a 4.426
_cell_length_b 19.555
_cell_length_c 12.005
_cell_angle_alpha 90.00
_cell_angle_beta 90.00
_cell_angle_gamma 90.00
loop_
_atom_site_label
_atom_site_fract_x
_atom_site_fract_y
_atom_site_fract_z
_atom_site_occupancy
Ac1 0.000 0.106 0.049 1
Ac2 0.000 0.247 0.750 1
Tb1 0.000 0.046 0.750 1
Si1 0.000 0.269 0.032 1
Si2 0.000 0.366 0.151 1
Si3 0.000 0.429 0.750 1
Si4 0.000 0.488 0.096 1
# - formation energy without anion corrections (meV/atom) = -573
# - magnetic moment (Bohr magnetons per cell) = 0.0

Entry 7:
# Cd3FeRh (PBE-GGA, optimized geometry)
data_Cd3FeRh
_space_group_name_H-M_alt 'P m -3 m'
_space_group_IT_number 221
_space_group_name_Hall '-P 4 2 3'
_cell_length_a 5.093
_cell_length_b 5.093
_cell_length_c 5.093
_cell_angle_alpha 90.00
_cell_angle_beta 90.00
_cell_angle_gamma 90.00
loop_
_atom_site_label
_atom_site_fract_x
_atom_site_fract_y
_atom_site_fract_z
_atom_site_occupancy
Cd1 0.000 0.000 0.500 1
Fe1 0.500 0.500 0.500 1
Rh1 0.000 0.000 0.000 1
# - E_form (eV/atom) = 0.8345
# - magnetic moment (Bohr magnetons per cell) = 3.6
# - energy above the most stable polymorph in this dataset (meV/atom) = 0

Entry 8:
# HgTe2Au (PBE-GGA, optimized geometry)
data_HgTe2Au
_space_group_name_H-M_alt 'I m m 2'
_space_group_IT_number 44
_cell_length_a 4.682
_cell_length_b 6.602
_cell_length_c 8.653
_cell_angle_alpha 90.00
_cell_angle_beta 90.00
_cell_angle_gamma 90.00
loop_
_space_group_symop_operation_xyz
'x,y,z'
'-x,-y,z'
'-x,y,z'
'x,-y,z'
'x+1/2,y+1/2,z+1/2'
'-x+1/2,-y+1/2,z+1/2'
'-x+1/2,y+1/2,z+1/2'
'x+1/2,-y+1/2,z+1/2'
loop_
_atom_site_label
_atom_site_fract_x
_atom_site_fract_y
_atom_site_fract_z
_atom_site_occupancy
Hg1 0.000 0.000 0.000 1
Te1 0.000 0.000 0.643 1
Te2 0.000 0.500 0.684 1
Au1 0.000 0.500 0.302 1
# - formation energy without anion corrections (meV/atom) = 106
# - magnetic moment (Bohr magnetons per cell) = 0.0